Record 1
Entry from Alexandria: a geometry-optimized Tb3PmNdDy structure (PBE-GGA).

Results
Space-group type: C2/m, No. 12
E_tot: -4.486 eV/atom

Cell: 10.351 10.351 7.015 Å, 90.16 90.16 31.97°
Fractional positions:
Tb: 0.021 0.021 0.245
Tb: 0.280 0.280 0.252
Tb: 0.334 0.334 0.760
Tb: 0.666 0.666 0.240
Tb: 0.720 0.720 0.748
Tb: 0.979 0.979 0.755
Pm: 0.147 0.147 0.529
Pm: 0.853 0.853 0.471
Nd: 0.446 0.446 0.243
Nd: 0.554 0.554 0.757
Dy: 0.149 0.149 0.963
Dy: 0.851 0.851 0.037



Record 2
Entry from Alexandria: a geometry-optimized MnOsAu2 structure (PBE-GGA).

Results
Energy above the most stable polymorph in this dataset: 229.3 kJ/mol of formula units
Space-group type: I-42d, No. 122
E_tot: -5.922 eV/atom

Cell: 5.801 5.801 5.801 Å, 102.36 102.36 124.88°
Fractional positions:
Mn: 0.000 0.000 0.000
Mn: 0.750 0.250 0.500
Os: 0.250 0.750 0.500
Os: 0.500 0.500 0.000
Au: 0.123 0.625 0.998
Au: 0.375 0.373 0.498
Au: 0.627 0.125 0.002
Au: 0.875 0.877 0.502



Record 3
Entry from Alexandria: a geometry-optimized Sr3AlHg structure (PBE-GGA).

Results
Energy above the most stable polymorph in this dataset: 0.0 kJ/mol of formula units
Space-group type: Pm-3m, No. 221
E_tot: -1.730 eV/atom

Cell: 6.288 6.288 6.288 Å, 90.00 90.00 90.00°
Fractional positions:
Sr: 0.000 0.000 0.500
Sr: 0.000 0.500 0.000
Sr: 0.500 0.000 0.000
Al: 0.000 0.000 0.000
Hg: 0.500 0.500 0.500



no.,formation enthalpy at 0 K (eV/atom)
1,0.1828
2,0.8170
3,0.0882